Run 1
This record from Alexandria via LeMat-Bulk describes an optimized crystal structure of NbRuPb2. The functional is PBE-GGA.

Unit cell a=7.7681 b=7.7681 c=5.8998 alpha=90.00 beta=90.00 gamma=90.00
With the nearest neighbours (Å) after each atom.
Space group I-42d (No. 122)
Unique sites:
1 Nb 0.0000 0.0000 0.0000 x4  2 Ru 2.95, 4 Pb 2.99
2 Ru 0.0000 0.0000 0.5000 x4  4 Pb 2.71, 2 Nb 2.95
3 Pb 0.2231 0.2500 0.6250 x8  2 Ru 2.71, 2 Pb 2.98, 2 Nb 2.99



Run 2
This record from Alexandria via LeMat-Bulk describes an optimized crystal structure of NbRuPb2. The functional is PBE-GGA.

Unit cell a=6.8758 b=6.8758 c=6.8758 alpha=90.00 beta=90.00 gamma=90.00
With the nearest neighbours (Å) after each atom.
Space group Fm-3m (No. 225)
Unique sites:
1 Nb 0.0000 0.0000 0.0000 x4  8 Pb 2.98
2 Ru 0.0000 0.0000 0.5000 x4  8 Pb 2.98
3 Pb 0.2500 0.2500 0.2500 x8  4 Nb 2.98, 4 Ru 2.98



What should be chosen as the most stable of them? Choose run 2.



Run 1
This record from Alexandria via LeMat-Bulk describes an optimized crystal structure of NbRuPb3. The functional is PBE-GGA.

Unit cell a=5.2401 b=5.2401 c=5.2401 alpha=90.00 beta=90.00 gamma=90.00
With the nearest neighbours (Å) after each atom.
Space group Pm-3m (No. 221)
Unique sites:
1 Nb 0.0000 0.0000 0.0000 x1  12 Pb 3.71
2 Ru 0.5000 0.5000 0.5000 x1  6 Pb 2.62
3 Pb 0.0000 0.5000 0.5000 x3  2 Ru 2.62



Run 2
This record from Alexandria via LeMat-Bulk describes an optimized crystal structure of NbRuPb3. The functional is PBE-GGA.

Unit cell a=5.4562 b=5.4562 c=5.4562 alpha=90.00 beta=90.00 gamma=90.00
With the nearest neighbours (Å) after each atom.
Space group Pm-3m (No. 221)
Unique sites:
1 Nb 0.0000 0.0000 0.0000 x1  6 Pb 2.73
2 Ru 0.5000 0.5000 0.5000 x1  12 Pb 3.86
3 Pb 0.0000 0.0000 0.5000 x3  2 Nb 2.73



What should be chosen as the most stable of them? Choose run 1.



Run 1
This record from Alexandria via LeMat-Bulk describes an optimized crystal structure of Nb4PbS8. The functional is PBE-GGA.

Unit cell a=10.3860 b=10.3860 c=10.3860 alpha=90.00 beta=90.00 gamma=90.00
With the nearest neighbours (Å) after each atom.
Space group F-43m (No. 216)
Unique sites:
1 Nb 0.1047 0.1047 0.3953 x16  6 S 2.44-2.66
2 Pb 0.0000 0.0000 0.0000 x4  4 S 2.63
3 S 0.1282 0.1282 0.6282 x16  3 Nb 2.44
4 S 0.1462 0.1462 0.1462 x16  1 Pb 2.63, 3 Nb 2.66



Run 2
This record from Alexandria via LeMat-Bulk describes an optimized crystal structure of Nb4PbS8. The functional is PBE-GGA.

Unit cell a=11.7323 b=6.7841 c=9.5601 alpha=90.00 beta=127.82 gamma=90.00
With the nearest neighbours (Å) after each atom.
Space group C2/m (No. 12)
Unique sites:
1 Nb 0.0000 0.2465 0.0000 x4  6 S 2.50
2 Nb 0.2473 0.0000 0.9963 x4  6 S 2.49-2.53
3 Pb 0.0000 0.5000 0.5000 x2  6 S 2.94-2.95
4 S 0.0625 0.2504 0.7926 x8  3 Nb 2.49-2.53
5 S 0.1843 0.5000 0.2043 x4  3 Nb 2.49-2.50
6 S 0.1876 0.0000 0.2087 x4  3 Nb 2.50-2.52



What should be chosen as the most stable of them? Choose run 2.



Run 1
This record from Alexandria via LeMat-Bulk describes an optimized crystal structure of NbSbPb3. The functional is PBE-GGA.

Unit cell a=5.5368 b=5.5368 c=5.5368 alpha=90.00 beta=90.00 gamma=90.00
With the nearest neighbours (Å) after each atom.
Space group Pm-3m (No. 221)
Unique sites:
1 Nb 0.0000 0.0000 0.0000 x1  6 Pb 2.77
2 Sb 0.5000 0.5000 0.5000 x1  12 Pb 3.92
3 Pb 0.0000 0.0000 0.5000 x3  2 Nb 2.77



Run 2
This record from Alexandria via LeMat-Bulk describes an optimized crystal structure of NbSbPb3. The functional is PBE-GGA.

Unit cell a=5.7423 b=5.7423 c=5.7423 alpha=90.00 beta=90.00 gamma=90.00
With the nearest neighbours (Å) after each atom.
Space group Pm-3m (No. 221)
Unique sites:
1 Nb 0.0000 0.0000 0.0000 x1  12 Pb 4.06
2 Sb 0.5000 0.5000 0.5000 x1  6 Pb 2.87
3 Pb 0.0000 0.5000 0.5000 x3  2 Sb 2.87



What should be chosen as the most stable of them? Choose run 1.



Run 1
This record from Alexandria via LeMat-Bulk describes an optimized crystal structure of NbSiPb3. The functional is PBE-GGA.

Unit cell a=5.4992 b=5.4992 c=5.4992 alpha=90.00 beta=90.00 gamma=90.00
With the nearest neighbours (Å) after each atom.
Space group Pm-3m (No. 221)
Unique sites:
1 Nb 0.0000 0.0000 0.0000 x1  6 Pb 2.75
2 Si 0.5000 0.5000 0.5000 x1  12 Pb 3.89
3 Pb 0.0000 0.0000 0.5000 x3  2 Nb 2.75



Run 2
This record from Alexandria via LeMat-Bulk describes an optimized crystal structure of NbSiPb3. The functional is PBE-GGA.

Unit cell a=5.2639 b=5.2639 c=5.2639 alpha=90.00 beta=90.00 gamma=90.00
With the nearest neighbours (Å) after each atom.
Space group Pm-3m (No. 221)
Unique sites:
1 Nb 0.0000 0.0000 0.0000 x1  12 Pb 3.72
2 Si 0.5000 0.5000 0.5000 x1  6 Pb 2.63
3 Pb 0.0000 0.5000 0.5000 x3  2 Si 2.63



What should be chosen as the most stable of them? Choose run 1.



Run 1
This record from Alexandria via LeMat-Bulk describes an optimized crystal structure of NbSi3Pb. The functional is PBE-GGA.

Unit cell a=5.0728 b=5.0728 c=5.0728 alpha=90.00 beta=90.00 gamma=90.00
With the nearest neighbours (Å) after each atom.
Space group Pm-3m (No. 221)
Unique sites:
1 Nb 0.0000 0.0000 0.0000 x1  12 Si 3.59
2 Si 0.0000 0.5000 0.5000 x3  2 Pb 2.54
3 Pb 0.5000 0.5000 0.5000 x1  6 Si 2.54



Run 2
This record from Alexandria via LeMat-Bulk describes an optimized crystal structure of NbSi3Pb. The functional is PBE-GGA.

Unit cell a=4.9300 b=4.9300 c=4.9300 alpha=90.00 beta=90.00 gamma=90.00
With the nearest neighbours (Å) after each atom.
Space group Pm-3m (No. 221)
Unique sites:
1 Nb 0.0000 0.0000 0.0000 x1  6 Si 2.46
2 Si 0.0000 0.0000 0.5000 x3  2 Nb 2.46
3 Pb 0.5000 0.5000 0.5000 x1  12 Si 3.49



What should be chosen as the most stable of them? Choose run 2.



Run 1
This record from Alexandria via LeMat-Bulk describes an optimized crystal structure of Nb3SnPb. The functional is PBE-GGA.

Unit cell a=5.0835 b=5.0835 c=5.0835 alpha=90.00 beta=90.00 gamma=90.00
With the nearest neighbours (Å) after each atom.
Space group Pm-3m (No. 221)
Unique sites:
1 Nb 0.0000 0.0000 0.5000 x3  2 Sn 2.54
2 Sn 0.0000 0.0000 0.0000 x1  6 Nb 2.54
3 Pb 0.5000 0.5000 0.5000 x1  12 Nb 3.59



Run 2
This record from Alexandria via LeMat-Bulk describes an optimized crystal structure of Nb3SnPb. The functional is PBE-GGA.

Unit cell a=5.1384 b=5.1384 c=5.1384 alpha=90.00 beta=90.00 gamma=90.00
With the nearest neighbours (Å) after each atom.
Space group Pm-3m (No. 221)
Unique sites:
1 Nb 0.0000 0.0000 0.5000 x3  2 Pb 2.57
2 Sn 0.5000 0.5000 0.5000 x1  12 Nb 3.63
3 Pb 0.0000 0.0000 0.0000 x1  6 Nb 2.57



What should be chosen as the most stable of them? Choose run 1.



Run 1
This record from Alexandria via LeMat-Bulk describes an optimized crystal structure of Nb2Sn2Pb. The functional is PBE-GGA.

Unit cell a=8.7660 b=8.7660 c=3.0418 alpha=90.00 beta=90.00 gamma=90.00
With the nearest neighbours (Å) after each atom.
Space group P4/mbm (No. 127)
Unique sites:
1 Nb 0.1117 0.3883 0.0000 x4  3 Nb 2.77-3.04, 6 Sn 3.00-3.04
2 Sn 0.1764 0.6764 0.5000 x4  6 Nb 3.00-3.04, 2 Sn 3.04, 2 Pb 3.23
3 Pb 0.0000 0.0000 0.5000 x2  2 Pb 3.04, 4 Sn 3.23



Run 2
This record from Alexandria via LeMat-Bulk describes an optimized crystal structure of Nb2Sn2Pb. The functional is PBE-GGA.

Unit cell a=7.6024 b=7.6024 c=3.8496 alpha=90.00 beta=90.00 gamma=90.00
With the nearest neighbours (Å) after each atom.
Space group P4/mbm (No. 127)
Unique sites:
1 Nb 0.1437 0.3563 0.0000 x4  2 Pb 2.92, 6 Sn 2.94-2.95, 1 Nb 3.09
2 Sn 0.1496 0.6496 0.5000 x4  6 Nb 2.94-2.95, 1 Sn 3.22
3 Pb 0.0000 0.0000 0.0000 x2  4 Nb 2.92



What should be chosen as the most stable of them? Choose run 2.



Run 1
This record from Alexandria via LeMat-Bulk describes an optimized crystal structure of NbSnPb3. The functional is PBE-GGA.

Unit cell a=5.6372 b=5.6372 c=5.6372 alpha=90.00 beta=90.00 gamma=90.00
With the nearest neighbours (Å) after each atom.
Space group Pm-3m (No. 221)
Unique sites:
1 Nb 0.0000 0.0000 0.0000 x1  12 Pb 3.99
2 Sn 0.5000 0.5000 0.5000 x1  6 Pb 2.82
3 Pb 0.0000 0.5000 0.5000 x3  2 Sn 2.82



Run 2
This record from Alexandria via LeMat-Bulk describes an optimized crystal structure of NbSnPb3. The functional is PBE-GGA.

Unit cell a=5.5347 b=5.5347 c=5.5347 alpha=90.00 beta=90.00 gamma=90.00
With the nearest neighbours (Å) after each atom.
Space group Pm-3m (No. 221)
Unique sites:
1 Nb 0.0000 0.0000 0.0000 x1  6 Pb 2.77
2 Sn 0.5000 0.5000 0.5000 x1  12 Pb 3.91
3 Pb 0.0000 0.0000 0.5000 x3  2 Nb 2.77



What should be chosen as the most stable of them? Choose run 2.



Run 1
This record from Alexandria via LeMat-Bulk describes an optimized crystal structure of Nb2SnPb. The functional is PBE-GGA.

Unit cell a=7.7292 b=7.7292 c=6.1072 alpha=90.00 beta=90.00 gamma=90.00
With the nearest neighbours (Å) after each atom.
Space group I-42d (No. 122)
Unique sites:
1 Nb 0.2418 0.2500 0.1250 x8  2 Sn 2.79, 2 Pb 2.88, 2 Nb 3.06
2 Sn 0.0000 0.0000 0.0000 x4  4 Nb 2.79, 2 Pb 3.05
3 Pb 0.0000 0.0000 0.5000 x4  4 Nb 2.88, 2 Sn 3.05



Run 2
This record from Alexandria via LeMat-Bulk describes an optimized crystal structure of Nb2SnPb. The functional is PBE-GGA.

Unit cell a=6.9087 b=6.9087 c=6.9087 alpha=90.00 beta=90.00 gamma=90.00
With the nearest neighbours (Å) after each atom.
Space group Fm-3m (No. 225)
Unique sites:
1 Nb 0.2500 0.2500 0.2500 x8  4 Pb 2.99, 4 Sn 2.99
2 Sn 0.0000 0.0000 0.0000 x4  8 Nb 2.99
3 Pb 0.0000 0.0000 0.5000 x4  8 Nb 2.99



What should be chosen as the most stable of them? Choose run 2.



Run 1
This record from Alexandria via LeMat-Bulk describes an optimized crystal structure of SrNb3Pb. The functional is PBE-GGA.

Unit cell a=4.9700 b=4.9700 c=4.9700 alpha=90.00 beta=90.00 gamma=90.00
With the nearest neighbours (Å) after each atom.
Space group Pm-3m (No. 221)
Unique sites:
1 Sr 0.0000 0.0000 0.0000 x1  6 Nb 2.49
2 Nb 0.0000 0.0000 0.5000 x3  2 Sr 2.49
3 Pb 0.5000 0.5000 0.5000 x1  12 Nb 3.51



Run 2
This record from Alexandria via LeMat-Bulk describes an optimized crystal structure of SrNb3Pb. The functional is PBE-GGA.

Unit cell a=5.3010 b=5.3010 c=5.3010 alpha=90.00 beta=90.00 gamma=90.00
With the nearest neighbours (Å) after each atom.
Space group Pm-3m (No. 221)
Unique sites:
1 Sr 0.0000 0.0000 0.0000 x1  12 Nb 3.75
2 Nb 0.0000 0.5000 0.5000 x3  2 Pb 2.65
3 Pb 0.5000 0.5000 0.5000 x1  6 Nb 2.65



What should be chosen as the most stable of them? Choose run 2.



Run 1
This record from Alexandria via LeMat-Bulk describes an optimized crystal structure of Ta2Nb2Pb. The functional is PBE-GGA.

Unit cell a=3.9437 b=3.9437 c=13.7654 alpha=90.00 beta=90.00 gamma=90.00
With the nearest neighbours (Å) after each atom.
Space group I4/mmm (No. 139)
Unique sites:
1 Ta 0.0000 0.0000 0.0986 x4  1 Ta 2.72, 4 Nb 2.87
2 Nb 0.0000 0.5000 0.2500 x4  4 Nb 2.79, 4 Ta 2.87
3 Pb 0.0000 0.0000 0.5000 x2  8 Ta 3.10



Run 2
This record from Alexandria via LeMat-Bulk describes an optimized crystal structure of Ta2Nb2Pb. The functional is PBE-GGA.

Unit cell a=5.0953 b=5.0953 c=5.1042 alpha=90.00 beta=90.00 gamma=90.00
With the nearest neighbours (Å) after each atom.
Space group P4/mmm (No. 123)
Unique sites:
1 Ta 0.0000 0.0000 0.0000 x1  2 Pb 2.55
2 Ta 0.5000 0.5000 0.0000 x1  4 Ta 3.60, 8 Nb 3.61
3 Nb 0.0000 0.5000 0.5000 x2  2 Pb 2.55
4 Pb 0.0000 0.0000 0.5000 x1  4 Nb 2.55, 2 Ta 2.55



Run 3
This record from Alexandria via LeMat-Bulk describes an optimized crystal structure of Ta2Nb2Pb. The functional is PBE-GGA.

Unit cell a=7.7427 b=7.7427 c=3.4015 alpha=90.00 beta=90.00 gamma=90.00
With the nearest neighbours (Å) after each atom.
Space group P4/mbm (No. 127)
Unique sites:
1 Ta 0.1144 0.3856 0.0000 x4  1 Ta 2.50, 2 Nb 2.72
2 Nb 0.1919 0.6919 0.5000 x4  6 Ta 2.72-2.98
3 Pb 0.0000 0.0000 0.0000 x2  4 Ta 3.11, 8 Nb 3.29, 2 Pb 3.40



What should be chosen as the most stable of them? Choose run 3.